# 1
First-principles (meta-GGA SCAN) data for a PBEsol-optimized structure of CaLuPd2, as listed in Alexandria via LeMat-Bulk.

a = 6.810 Å, b = 6.810 Å, c = 6.810 Å
α = 90.00°, β = 90.00°, γ = 90.00°
Space group Fm-3m (No. 225)
Asymmetric unit:
1 Ca 0.000 0.000 0.000 [4 per cell]
2 Lu 0.000 0.000 0.500 [4 per cell]
3 Pd 0.250 0.250 0.250 [8 per cell]

Properties
D(E_F), states/eV per cell: 7.8
Raw total energy, eV per atom: -33.499
V, Å³ per cell: 315.8
Formation energy, eV per atom: -0.860

=====

# 2
First-principles (meta-GGA SCAN) data for a PBEsol-optimized structure of Ca4Mg, as listed in Alexandria via LeMat-Bulk.

a = 4.538 Å, b = 4.538 Å, c = 19.154 Å
α = 90.00°, β = 90.00°, γ = 90.00°
Space group I4/mmm (No. 139)
Asymmetric unit:
1 Ca 0.000 0.000 0.091 [4 per cell]
2 Ca 0.000 0.500 0.250 [4 per cell]
3 Mg 0.000 0.000 0.500 [2 per cell]

Properties
D(E_F), states/eV per cell: 10.5
Raw total energy, eV per atom: -8.414
Energy relative to the lowest polymorph listed for this composition, eV/f.u.: 1.475
V, Å³ per cell: 394.5
Formation energy, eV per atom: 0.312

=====

# 3
First-principles (meta-GGA SCAN) data for a PBEsol-optimized structure of Ca5Mg, as listed in Alexandria via LeMat-Bulk.

a = 6.4832 Å, b = 6.4832 Å, c = 6.0899 Å
α = 90.00°, β = 90.00°, γ = 120.00°
Space group P-62m (No. 189)
Asymmetric unit:
1 Ca 0.0000 0.6776 0.0000 [3 per cell]
2 Ca 0.3333 0.6667 0.5000 [2 per cell]
3 Mg 0.0000 0.0000 0.5000 [1 per cell]

Properties
D(E_F), states/eV per cell: 4.2
Raw total energy, eV per atom: -8.867
Energy relative to the lowest polymorph listed for this composition, eV/f.u.: 0.107
V, Å³ per cell: 221.7
Formation energy, eV per atom: 0.015

=====

# 4
First-principles (meta-GGA SCAN) data for a PBEsol-optimized structure of CaMg5, as listed in Alexandria via LeMat-Bulk.

a = 5.6852 Å, b = 5.6852 Å, c = 16.2255 Å
α = 90.00°, β = 90.00°, γ = 120.00°
Space group R32 (No. 155, hexagonal axes)
Asymmetric unit:
1 Ca 0.0000 0.0000 0.0000 [3 per cell]
2 Mg 0.0000 0.0000 0.3331 [6 per cell]
3 Mg 0.0000 0.6747 0.5000 [9 per cell]

Properties
D(E_F), states/eV per cell: 9.3
Raw total energy, eV per atom: -5.741
V, Å³ per cell: 454.2
Formation energy, eV per atom: 0.014

=====

# 5
First-principles (meta-GGA SCAN) data for a PBEsol-optimized structure of CaMg4, as listed in Alexandria via LeMat-Bulk.

a = 7.107 Å, b = 7.107 Å, c = 5.033 Å
α = 90.00°, β = 90.00°, γ = 90.00°
Space group I4/m (No. 87)
Asymmetric unit:
1 Ca 0.000 0.000 0.000 [2 per cell]
2 Mg 0.070 0.302 0.500 [8 per cell]

Properties
D(E_F), states/eV per cell: 5.2
Raw total energy, eV per atom: -5.920
V, Å³ per cell: 254.2
Formation energy, eV per atom: -0.008

=====

# 6
First-principles (meta-GGA SCAN) data for a PBEsol-optimized structure of Ca5Mg4, as listed in Alexandria via LeMat-Bulk.

a = 10.471 Å, b = 10.471 Å, c = 5.120 Å
α = 90.00°, β = 90.00°, γ = 90.00°
Space group I4/mmm (No. 139)
Asymmetric unit:
1 Ca 0.000 0.000 0.000 [2 per cell]
2 Ca 0.172 0.172 0.500 [8 per cell]
3 Mg 0.000 0.349 0.000 [8 per cell]

Properties
D(E_F), states/eV per cell: 13.4
Raw total energy, eV per atom: -7.582
V, Å³ per cell: 561.3
Formation energy, eV per atom: -0.003

=====

# 7
First-principles (meta-GGA SCAN) data for a PBEsol-optimized structure of CaMg5, as listed in Alexandria via LeMat-Bulk.

a = 5.7861 Å, b = 5.7861 Å, c = 5.1798 Å
α = 90.00°, β = 90.00°, γ = 120.00°
Space group P-62m (No. 189)
Asymmetric unit:
1 Ca 0.0000 0.0000 0.0000 [1 per cell]
2 Mg 0.0000 0.6213 0.5000 [3 per cell]
3 Mg 0.3333 0.6667 0.0000 [2 per cell]

Properties
D(E_F), states/eV per cell: 2.5
Raw total energy, eV per atom: -5.769
V, Å³ per cell: 150.2
Formation energy, eV per atom: -0.014

=====

# 8
First-principles (meta-GGA SCAN) data for a PBEsol-optimized structure of Ca4Mg, as listed in Alexandria via LeMat-Bulk.

a = 8.380 Å, b = 8.380 Å, c = 5.166 Å
α = 90.00°, β = 90.00°, γ = 90.00°
Space group I4/m (No. 87)
Asymmetric unit:
1 Ca 0.103 0.295 0.000 [8 per cell]
2 Mg 0.000 0.000 0.500 [2 per cell]

Properties
D(E_F), states/eV per cell: 9.4
Raw total energy, eV per atom: -8.709
Energy relative to the lowest polymorph listed for this composition, eV/f.u.: 0.000
V, Å³ per cell: 362.8
Formation energy, eV per atom: 0.017